# MnNbAlZn2

A geometry-optimized MnNbAlZn2 structure (GGA-PBEsol, Alexandria via LeMat-Bulk).

- Formation energy: 0.7212 eV per atom
- Electronic total energy: -4.846 eV per atom
- Size of the total moment: 0.780 μB/f.u.

Unit cell a=4.5381 b=4.5381 c=4.3712 alpha=90.00 beta=90.00 gamma=90.00
Positions (direct):
Mn1 0.0000 0.0000 0.0000
Nb1 0.0000 0.0000 0.5000
Al1 0.5000 0.5000 0.5000
Zn1 0.0000 0.5000 0.0000
Zn2 0.5000 0.0000 0.0000



# MnAl2Ni

A geometry-optimized MnAl2Ni structure (GGA-PBEsol, Alexandria via LeMat-Bulk).

- Formation energy: 0.1268 eV per atom
- Electronic total energy: -5.899 eV per atom
- Size of the total moment: 2.796 μB/f.u.

Unit cell a=5.3095 b=5.3095 c=5.3095 alpha=103.76 beta=103.76 gamma=121.63
Positions (direct):
Mn1 0.0000 0.0000 0.0000
Mn2 0.7500 0.2500 0.5000
Al1 0.1489 0.6250 0.0239
Al2 0.3750 0.3989 0.5239
Al3 0.6011 0.1250 0.9761
Al4 0.8750 0.8511 0.4761
Ni1 0.2500 0.7500 0.5000
Ni2 0.5000 0.5000 0.0000



# MnAl2Ni

A geometry-optimized MnAl2Ni structure (GGA-PBEsol, Alexandria via LeMat-Bulk).

- Formation energy: -0.4401 eV per atom
- Electronic total energy: -6.466 eV per atom
- Size of the total moment: 2.068 μB/f.u.

Unit cell a=2.7794 b=2.7794 c=6.2844 alpha=90.00 beta=90.00 gamma=90.00
Positions (direct):
Mn1 0.0000 0.0000 0.0000
Al1 0.5000 0.5000 0.2610
Al2 0.5000 0.5000 0.7390
Ni1 0.0000 0.0000 0.5000



# Mn2AlNi

A geometry-optimized Mn2AlNi structure (GGA-PBEsol, Alexandria via LeMat-Bulk).

- Formation energy: -0.0941 eV per atom
- Electronic total energy: -7.537 eV per atom
- Size of the total moment: 3.858 μB/f.u.

Unit cell a=4.7703 b=4.7703 c=4.7703 alpha=145.72 beta=131.02 gamma=61.14
Positions (direct):
Mn1 0.2457 0.2457 0.0000
Mn2 0.7543 0.7543 0.0000
Al1 0.5000 0.0000 0.5000
Ni1 0.0000 0.5000 0.5000



# Mn2AlNi

A geometry-optimized Mn2AlNi structure (GGA-PBEsol, Alexandria via LeMat-Bulk).

- Formation energy: -0.2061 eV per atom
- Electronic total energy: -7.649 eV per atom
- Size of the total moment: 1.143 μB/f.u.

Unit cell a=4.2097 b=4.2097 c=4.2097 alpha=126.86 beta=126.86 gamma=78.48
Positions (direct):
Mn1 0.0000 0.0000 0.0000
Mn2 0.7500 0.2500 0.5000
Al1 0.2500 0.7500 0.5000
Ni1 0.5000 0.5000 0.0000



# Mn2AlNi

A geometry-optimized Mn2AlNi structure (GGA-PBEsol, Alexandria via LeMat-Bulk).

- Formation energy: -0.2098 eV per atom
- Electronic total energy: -7.653 eV per atom
- Size of the total moment: 2.303 μB/f.u.

Unit cell a=2.8554 b=2.8554 c=5.6051 alpha=90.00 beta=90.00 gamma=90.00
Positions (direct):
Mn1 0.0000 0.0000 0.0000
Mn2 0.5000 0.5000 0.2232
Al1 0.5000 0.5000 0.7264
Ni1 0.0000 0.0000 0.4801